No. 1
Computed, not measured: Ac8PmHo4 after structural relaxation at the PBE-GGA level of DFT.

Cell and atoms, written as CIF:
```
data_Ac8PmHo4
_chemical_formula_sum 'Ac24 Pm3 Ho12'
_symmetry_space_group_name_H-M 'R -3 m'
_symmetry_Int_Tables_number 166
_symmetry_space_group_name_Hall '-R 3 2"'
_cell_length_a 11.7683
_cell_length_b 11.7683
_cell_length_c 14.3933
_cell_angle_alpha 90.00
_cell_angle_beta 90.00
_cell_angle_gamma 120.00
loop_
_atom_site_label
_atom_site_type_symbol
_atom_site_fract_x
_atom_site_fract_y
_atom_site_fract_z
Ac1 Ac 0.0000 0.0000 0.2412
Ac2 Ac 0.0113 0.5057 0.7469
Pm1 Pm 0.0000 0.0000 0.5000
Ho1 Ho 0.0000 0.0000 0.0000
Ho2 Ho 0.0000 0.5000 0.0000
```

Values from the calculation:
mass density	7.6	Mg/m³
calculated total energy	-152.6	eV for the cell shown
crystal system	trigonal
ΔH_f (0 K)	0.390	eV/atom
N(E_F)	56.5	states/eV per cell
magnetic moment	0.0000	μB/atom

***

No. 2
Computed, not measured: Cu3RhO after structural relaxation at the PBE-GGA level of DFT.

Cell and atoms, written as CIF:
```
data_Cu3RhO
_chemical_formula_sum 'Cu3 Rh1 O1'
_symmetry_space_group_name_H-M 'P m -3 m'
_symmetry_Int_Tables_number 221
_symmetry_space_group_name_Hall '-P 4 2 3'
_cell_length_a 4.592
_cell_length_b 4.592
_cell_length_c 4.592
_cell_angle_alpha 90.00
_cell_angle_beta 90.00
_cell_angle_gamma 90.00
loop_
_atom_site_label
_atom_site_type_symbol
_atom_site_fract_x
_atom_site_fract_y
_atom_site_fract_z
Cu1 Cu 0.000 0.000 0.500
Rh1 Rh 0.000 0.000 0.000
O1 O 0.500 0.500 0.500
```

Values from the calculation:
mass density	5.3	Mg/m³
calculated total energy	-16.9	eV for the cell shown
crystal system	cubic
uncorrected formation energy	1532.6	meV/atom
relative energy among the computed polymorphs	1.442	eV/atom
N(E_F)	11.1	states/eV per cell
magnetic moment	0.2698	μB/atom

***

No. 3
Computed, not measured: HoTm2IO8 after structural relaxation at the PBE-GGA level of DFT.

Cell and atoms, written as CIF:
```
data_HoTm2IO8
_chemical_formula_sum 'Ho2 Tm4 I2 O16'
_symmetry_space_group_name_H-M 'C m m m'
_symmetry_Int_Tables_number 65
_symmetry_space_group_name_Hall '-C 2 2'
_cell_length_a 6.987
_cell_length_b 7.071
_cell_length_c 6.759
_cell_angle_alpha 90.00
_cell_angle_beta 90.00
_cell_angle_gamma 90.00
loop_
_atom_site_label
_atom_site_type_symbol
_atom_site_fract_x
_atom_site_fract_y
_atom_site_fract_z
Ho1 Ho 0.000 0.000 0.000
Tm1 Tm 0.000 0.500 0.247
I1 I 0.000 0.000 0.500
O1 O 0.000 0.183 0.291
O2 O 0.190 0.500 0.000
O3 O 0.228 0.500 0.500
```

Values from the calculation:
mass density	7.5	Mg/m³
calculated total energy	-166.8	eV for the cell shown
crystal system	orthorhombic
uncorrected formation energy	-2387.0	meV/atom
N(E_F)	0.0	states/eV per cell
magnetic moment	0.0000	μB/atom

***

No. 4
Computed, not measured: KMnAgPd2 after structural relaxation at the PBE-GGA level of DFT.

Cell and atoms, written as CIF:
```
data_KMnAgPd2
_chemical_formula_sum 'K1 Mn1 Ag1 Pd2'
_symmetry_space_group_name_H-M 'P 4/m m m'
_symmetry_Int_Tables_number 123
_symmetry_space_group_name_Hall '-P 4 2'
_cell_length_a 5.158
_cell_length_b 5.158
_cell_length_c 4.924
_cell_angle_alpha 90.00
_cell_angle_beta 90.00
_cell_angle_gamma 90.00
loop_
_atom_site_label
_atom_site_type_symbol
_atom_site_fract_x
_atom_site_fract_y
_atom_site_fract_z
K1 K 0.000 0.000 0.000
Mn1 Mn 0.500 0.500 0.000
Ag1 Ag 0.500 0.500 0.500
Pd1 Pd 0.000 0.500 0.500
```

Values from the calculation:
mass density	5.3	Mg/m³
calculated total energy	-20.1	eV for the cell shown
crystal system	tetragonal
ΔH_f (0 K)	0.676	eV/atom
N(E_F)	2.8	states/eV per cell
magnetic moment	0.9526	μB/atom

***

No. 5
Computed, not measured: In2PbO2 after structural relaxation at the PBE-GGA level of DFT.

Cell and atoms, written as CIF:
```
data_In2PbO2
_chemical_formula_sum 'In4 Pb2 O4'
_symmetry_space_group_name_H-M 'I 4/m m m'
_symmetry_Int_Tables_number 139
_symmetry_space_group_name_Hall '-I 4 2'
_cell_length_a 3.863
_cell_length_b 3.863
_cell_length_c 13.692
_cell_angle_alpha 90.00
_cell_angle_beta 90.00
_cell_angle_gamma 90.00
loop_
_atom_site_label
_atom_site_type_symbol
_atom_site_fract_x
_atom_site_fract_y
_atom_site_fract_z
In1 In 0.000 0.000 0.171
Pb1 Pb 0.000 0.000 0.500
O1 O 0.000 0.500 0.250
```

Values from the calculation:
mass density	7.6	Mg/m³
calculated total energy	-46.3	eV for the cell shown
crystal system	tetragonal
uncorrected formation energy	-811.7	meV/atom
N(E_F)	3.9	states/eV per cell
magnetic moment	0.0000	μB/atom

***

No. 6
Computed, not measured: InTeRhO6 after structural relaxation at the PBE-GGA level of DFT.

Cell and atoms, written as CIF:
```
data_InTeRhO6
_chemical_formula_sum 'In2 Te2 Rh2 O12'
_symmetry_space_group_name_H-M 'P -3 1 c'
_symmetry_Int_Tables_number 163
_symmetry_space_group_name_Hall '-P 3 2c'
_cell_length_a 5.2335
_cell_length_b 5.2335
_cell_length_c 9.2827
_cell_angle_alpha 90.00
_cell_angle_beta 90.00
_cell_angle_gamma 120.00
loop_
_atom_site_label
_atom_site_type_symbol
_atom_site_fract_x
_atom_site_fract_y
_atom_site_fract_z
In1 In 0.0000 0.0000 0.0000
Te1 Te 0.3333 0.6667 0.2500
Rh1 Rh 0.3333 0.6667 0.7500
O1 O 0.0093 0.3591 0.1332
```

Values from the calculation:
mass density	6.7	Mg/m³
calculated total energy	-105.4	eV for the cell shown
crystal system	trigonal
uncorrected formation energy	-1082.0	meV/atom
N(E_F)	3.0	states/eV per cell
magnetic moment	0.0000	μB/atom

***

No. 7
Computed, not measured: Ba6Na5Tl after structural relaxation at the PBE-GGA level of DFT.

Cell and atoms, written as CIF:
```
data_Ba6Na5Tl
_chemical_formula_sum 'Ba6 Na5 Tl1'
_symmetry_space_group_name_H-M 'P 1 2/m 1'
_symmetry_Int_Tables_number 10
_symmetry_space_group_name_Hall '-P 2y'
_cell_length_a 6.373
_cell_length_b 9.396
_cell_length_c 10.117
_cell_angle_alpha 90.00
_cell_angle_beta 108.28
_cell_angle_gamma 90.00
loop_
_atom_site_label
_atom_site_type_symbol
_atom_site_fract_x
_atom_site_fract_y
_atom_site_fract_z
Ba1 Ba 0.000 0.225 0.000
Ba2 Ba 0.347 0.236 0.691
Na1 Na 0.169 0.500 0.339
Na2 Na 0.174 0.000 0.351
Na3 Na 0.500 0.500 0.000
Tl1 Tl 0.500 0.000 0.000
```

Values from the calculation:
mass density	3.3	Mg/m³
calculated total energy	-21.4	eV for the cell shown
crystal system	monoclinic
ΔH_f (0 K)	-0.079	eV/atom
N(E_F)	11.3	states/eV per cell
magnetic moment	0.0000	μB/atom

***

No. 8
Computed, not measured: CoHg4Te after structural relaxation at the PBE-GGA level of DFT.

Cell and atoms, written as CIF:
```
data_CoHg4Te
_chemical_formula_sum 'Co4 Hg16 Te4'
_symmetry_space_group_name_H-M 'F -4 3 m'
_symmetry_Int_Tables_number 216
_symmetry_space_group_name_Hall 'F -4 2 3'
_cell_length_a 8.396
_cell_length_b 8.396
_cell_length_c 8.396
_cell_angle_alpha 90.00
_cell_angle_beta 90.00
_cell_angle_gamma 90.00
loop_
_atom_site_label
_atom_site_type_symbol
_atom_site_fract_x
_atom_site_fract_y
_atom_site_fract_z
Co1 Co 0.000 0.000 0.000
Hg1 Hg 0.125 0.125 0.625
Te1 Te 0.250 0.250 0.250
```

Values from the calculation:
mass density	11.1	Mg/m³
calculated total energy	-29.5	eV for the cell shown
crystal system	cubic
uncorrected formation energy	678.2	meV/atom
N(E_F)	30.8	states/eV per cell
magnetic moment	0.3476	μB/atom

***

No. 9
Computed, not measured: Ga2Sn2Se after structural relaxation at the PBE-GGA level of DFT.

Cell and atoms, written as CIF:
```
data_Ga2Sn2Se
_chemical_formula_sum 'Ga4 Sn4 Se2'
_symmetry_space_group_name_H-M 'I 4/m m m'
_symmetry_Int_Tables_number 139
_symmetry_space_group_name_Hall '-I 4 2'
_cell_length_a 3.836
_cell_length_b 3.836
_cell_length_c 16.191
_cell_angle_alpha 90.00
_cell_angle_beta 90.00
_cell_angle_gamma 90.00
loop_
_atom_site_label
_atom_site_type_symbol
_atom_site_fract_x
_atom_site_fract_y
_atom_site_fract_z
Ga1 Ga 0.000 0.500 0.250
Sn1 Sn 0.000 0.000 0.100
Se1 Se 0.000 0.000 0.500
```

Values from the calculation:
mass density	6.4	Mg/m³
calculated total energy	-35.1	eV for the cell shown
crystal system	tetragonal
uncorrected formation energy	0.8	meV/atom
relative energy among the computed polymorphs	0.000	eV/atom
N(E_F)	6.0	states/eV per cell
magnetic moment	0.0000	μB/atom

***

No. 10
Computed, not measured: TiAl2Sn2 after structural relaxation at the PBE-GGA level of DFT.

Cell and atoms, written as CIF:
```
data_TiAl2Sn2
_chemical_formula_sum 'Ti2 Al4 Sn4'
_symmetry_space_group_name_H-M 'P 4/m b m'
_symmetry_Int_Tables_number 127
_symmetry_space_group_name_Hall '-P 4 2ab'
_cell_length_a 7.391
_cell_length_b 7.391
_cell_length_c 3.879
_cell_angle_alpha 90.00
_cell_angle_beta 90.00
_cell_angle_gamma 90.00
loop_
_atom_site_label
_atom_site_type_symbol
_atom_site_fract_x
_atom_site_fract_y
_atom_site_fract_z
Ti1 Ti 0.000 0.000 0.000
Al1 Al 0.150 0.350 0.500
Sn1 Sn 0.153 0.653 0.000
```

Values from the calculation:
mass density	5.3	Mg/m³
calculated total energy	-45.1	eV for the cell shown
crystal system	tetragonal
relative energy among the computed polymorphs	0.062	eV/atom
ΔH_f (0 K)	0.167	eV/atom
N(E_F)	8.1	states/eV per cell
magnetic moment	0.0000	μB/atom